(1)
## LiTm2Mg5 (GGA-PBE)

Data for a geometry-optimized LiTm2Mg5 structure.

Cell lengths 4.8463, 4.8463, 16.5505 Å; angles 90.00, 90.00, 90.00 degrees
Space group I4/mmm (No. 139)
Unique sites:
Li1 0.0000 0.0000 0.0000 [2 per cell]
Tm1 0.0000 0.0000 0.2539 [4 per cell]
Mg1 0.0000 0.0000 0.5000 [2 per cell]
Mg2 0.0000 0.5000 0.1132 [8 per cell]

Output
- DOS(E_F) (states/eV/atom) = 0.60
- calculated formation energy (eV/atom) = -0.0352
- M_tot (μB per cell) = 0.2
- relative energy among the computed polymorphs (meV/atom) = 0.0
- crystal system = tetragonal

(2)
## CdTeAs2 (GGA-PBE)

Data for a geometry-optimized CdTeAs2 structure.

Cell lengths 4.0775, 4.0775, 20.5434 Å; angles 90.00, 90.00, 120.00 degrees
Space group R3m (No. 160, hexagonal axes)
Unique sites:
Cd1 0.0000 0.0000 0.0000 [3 per cell]
Te1 0.0000 0.0000 0.7557 [3 per cell]
As1 0.0000 0.0000 0.2462 [3 per cell]
As2 0.0000 0.0000 0.5148 [3 per cell]

Output
- DOS(E_F) (states/eV/atom) = 0.46
- M_tot (μB per cell) = 0.0
- relative energy among the computed polymorphs (meV/atom) = 75.7
- E_form (uncorrected) (eV/atom) = 0.02
- crystal system = trigonal

(3)
## Co2SiPb (GGA-PBE)

Data for a geometry-optimized Co2SiPb structure.

Cell lengths 3.6719, 3.6719, 16.0034 Å; angles 90.00, 90.00, 120.00 degrees
Space group R3m (No. 160, hexagonal axes)
Unique sites:
Co1 0.0000 0.0000 0.0000 [3 per cell]
Co2 0.0000 0.0000 0.2288 [3 per cell]
Si1 0.0000 0.0000 0.6190 [3 per cell]
Pb1 0.0000 0.0000 0.4425 [3 per cell]

Output
- DOS(E_F) (states/eV/atom) = 0.51
- M_tot (μB per cell) = 0.0
- relative energy among the computed polymorphs (meV/atom) = 0.0
- E_form (uncorrected) (eV/atom) = 0.04
- crystal system = trigonal